(1)
Below is crystalline Ga2Co2B at its relaxed geometry, with properties calculated at the PBE level.

a = 5.3996 Å, b = 5.3996 Å, c = 3.9255 Å
α = 90.00°, β = 90.00°, γ = 90.00°
Closest atoms and distances in Å follow each position.
Fractional positions:
Ga (0.1631, 0.3369, 0.0000)  6 Co 2.36-2.64, 1 Ga 2.49
Ga (0.3369, 0.8369, 0.0000)  6 Co 2.36-2.64, 1 Ga 2.49
Ga (0.6631, 0.1631, 0.0000)  6 Co 2.36-2.64, 1 Ga 2.49
Ga (0.8369, 0.6631, 0.0000)  6 Co 2.36-2.64, 1 Ga 2.49
Co (0.1646, 0.6646, 0.5000)  2 B 2.02
Co (0.3354, 0.1646, 0.5000)  2 B 2.02
Co (0.6646, 0.8354, 0.5000)  2 B 2.02
Co (0.8354, 0.3354, 0.5000)  2 B 2.02
B (0.0000, 0.0000, 0.5000)  4 Co 2.02
B (0.5000, 0.5000, 0.5000)  4 Co 2.02

Computed properties:
total moment = 0.00 μB/atom
ΔH_f (0 K) = -75 kJ/mol of formula units
energy above the lowest structure with this stoichiometry = 0.000 eV/atom


(2)
Below is crystalline Hg2PCl at its relaxed geometry, with properties calculated at the PBE level.

a = 3.7955 Å, b = 7.6938 Å, c = 7.8417 Å
α = 90.00°, β = 90.00°, γ = 90.00°
Closest atoms and distances in Å follow each position.
Fractional positions:
Hg (0.0000, 0.0000, 0.2273)  2 P 2.60, 2 Cl 2.86
Hg (0.0000, 0.0000, 0.7727)  2 P 2.60, 2 Cl 2.86
Hg (0.5000, 0.5000, 0.2727)  2 P 2.60, 2 Cl 2.86
Hg (0.5000, 0.5000, 0.7273)  2 P 2.60, 2 Cl 2.86
P (0.0000, 0.5000, 0.5000)  4 Hg 2.60
P (0.5000, 0.0000, 0.0000)  4 Hg 2.60
Cl (0.0000, 0.5000, 0.0000)  4 Hg 2.86
Cl (0.5000, 0.0000, 0.5000)  4 Hg 2.86

Computed properties:
total moment = 0.09 μB/atom
uncorrected formation energy = 0.196 eV/atom
energy above the lowest structure with this stoichiometry = 0.452 eV/atom